Record 1
Entry from Alexandria via LeMat-Bulk: crystalline Nb2NiPd8 at its relaxed geometry (GGA-PBE).

```
Nb2NiPd8
1.0
-2.199 3.749 5.326
2.199 -3.749 5.326
2.199 3.749 -5.326
Nb Ni Pd
2 1 8
Direct
0.213 0.213 0.000
0.787 0.787 0.000
0.500 0.500 0.000
0.060 0.350 0.711
0.185 0.000 0.185
0.361 0.650 0.711
0.364 0.864 0.500
0.636 0.136 0.500
0.639 0.350 0.289
0.815 0.000 0.815
0.940 0.650 0.289
```

Output
- DOS at the Fermi energy: 8.32 states/eV/cell
- Space group: Immm, No. 71
- ΔE_f: -186.3 meV per atom
- Total moment: 0.0 μB/f.u.

Record 2
Entry from Alexandria via LeMat-Bulk: crystalline YSiB3 at its relaxed geometry (GGA-PBE).

```
YSiB3
1.0
4.005 0.000 0.000
0.000 4.005 0.000
0.000 0.000 4.005
Y Si B
1 1 3
Direct
0.000 0.000 0.000
0.500 0.500 0.500
0.000 0.500 0.500
0.500 0.000 0.500
0.500 0.500 0.000
```

Output
- DOS at the Fermi energy: 1.93 states/eV/cell
- Space group: Pm-3m, No. 221
- Total energy: -0.4194 Ry/atom
- Total moment: 0.0 μB/f.u.

Record 3
Entry from Alexandria via LeMat-Bulk: crystalline Pa2Al2Si4Ni at its relaxed geometry (GGA-PBE).

```
Pa2Al2Si4Ni
1.0
-3.063 3.063 4.076
3.063 -3.063 4.076
3.063 3.063 -4.076
Pa Al Si Ni
2 2 4 1
Direct
0.250 0.750 0.500
0.750 0.250 0.500
0.209 0.209 0.000
0.791 0.791 0.000
0.228 0.228 0.456
0.228 0.772 0.000
0.772 0.228 0.000
0.772 0.772 0.544
0.500 0.500 0.000
```

Output
- DOS at the Fermi energy: 6.12 states/eV/cell
- Space group: I4/mmm, No. 139
- Total energy: -0.4734 Ry/atom
- Total moment: 0.0 μB/f.u.

Record 4
Entry from Alexandria via LeMat-Bulk: crystalline ScNi2P at its relaxed geometry (GGA-PBE).

```
ScNi2P
1.0
3.773 0.000 0.000
0.000 3.773 0.000
0.000 0.000 3.713
Sc Ni P
1 2 1
Direct
0.000 0.000 0.000
0.000 0.500 0.500
0.500 0.000 0.500
0.500 0.500 0.000
```

Output
- DOS at the Fermi energy: 2.72 states/eV/cell
- Space group: P4/mmm, No. 123
- ΔE_f: -557.7 meV per atom
- Total moment: 0.0 μB/f.u.

Record 5
Entry from Alexandria via LeMat-Bulk: crystalline LaTlN2O at its relaxed geometry (GGA-PBE).

```
LaTlN2O
1.0
4.236 0.000 0.000
0.000 4.236 0.000
0.000 0.000 4.322
La Tl N O
1 1 2 1
Direct
0.000 0.000 0.000
0.500 0.500 0.500
0.000 0.500 0.500
0.500 0.000 0.500
0.500 0.500 0.000
```

Output
- DOS at the Fermi energy: 3.91 states/eV/cell
- Space group: P4/mmm, No. 123
- Total energy: -0.4155 Ry/atom
- Total moment: 0.0 μB/f.u.

Record 6
Entry from Alexandria via LeMat-Bulk: crystalline MnSb at its relaxed geometry (GGA-PBE).

```
MnSb
1.0
7.575 0.000 0.000
0.000 7.575 0.000
0.000 0.000 7.575
Mn Sb
6 6
Direct
0.000 0.250 0.500
0.000 0.750 0.500
0.250 0.500 0.000
0.500 0.000 0.250
0.500 0.000 0.750
0.750 0.500 0.000
0.000 0.500 0.250
0.000 0.500 0.750
0.250 0.000 0.500
0.500 0.250 0.000
0.500 0.750 0.000
0.750 0.000 0.500
```

Output
- DOS at the Fermi energy: 2.11 states/eV/cell
- Space group: Pm-3n, No. 223
- Total energy: -0.4535 Ry/atom
- Total moment: 4.0 μB/f.u.

Record 7
Entry from Alexandria via LeMat-Bulk: crystalline TaAgAu2 at its relaxed geometry (GGA-PBE).

```
TaAgAu2
1.0
1.486 0.858 9.421
-1.486 0.858 9.421
0.000 -1.715 9.421
Ta Ag Au
1 1 2
Direct
0.000 0.000 0.000
0.500 0.500 0.500
0.251 0.251 0.251
0.749 0.749 0.749
```

Output
- DOS at the Fermi energy: 3.94 states/eV/cell
- Space group: R-3m, No. 166
- ΔE_f: 37.5 meV per atom
- Total moment: 0.0 μB/f.u.

Record 8
Entry from Alexandria via LeMat-Bulk: crystalline PrBiPd4 at its relaxed geometry (GGA-PBE).

```
PrBiPd4
1.0
0.000 3.898 3.898
3.898 0.000 3.898
3.898 3.898 0.000
Pr Bi Pd
1 1 4
Direct
0.000 0.000 0.000
0.750 0.750 0.750
0.375 0.375 0.375
0.375 0.375 0.876
0.375 0.876 0.375
0.876 0.375 0.375
```

Output
- DOS at the Fermi energy: 6.79 states/eV/cell
- Space group: F-43m, No. 216
- ΔE_f: -525.2 meV per atom
- Total moment: 0.0 μB/f.u.

Please write out number 8 again, unchanged.
Entry from Alexandria via LeMat-Bulk: crystalline PrBiPd4 at its relaxed geometry (GGA-PBE).

```
PrBiPd4
1.0
0.000 3.898 3.898
3.898 0.000 3.898
3.898 3.898 0.000
Pr Bi Pd
1 1 4
Direct
0.000 0.000 0.000
0.750 0.750 0.750
0.375 0.375 0.375
0.375 0.375 0.876
0.375 0.876 0.375
0.876 0.375 0.375
```

Output
- DOS at the Fermi energy: 6.79 states/eV/cell
- Space group: F-43m, No. 216
- ΔE_f: -525.2 meV per atom
- Total moment: 0.0 μB/f.u.